(1)
Below is an optimized crystal structure of ErCdInRh, with properties calculated at the PBE-GGA level.

Volume, Å³ per cell: 82
DFT formation energy, meV/atom: -410

The structure in extended XYZ format:
```
4
Lattice="-2.219 0.066 -4.336 -2.461 -3.913 -1.537 -4.864 0.123 -0.246" Properties=species:S:1:pos:R:3 pbc="T T T"
Rh -2.386 -0.931 -1.530
Cd -7.158 -2.793 -4.589
In 0.000 0.000 0.000
Er -4.772 -1.862 -3.059
```

***

(2)
Below is an optimized crystal structure of Er4CdInRu2, with properties calculated at the PBE-GGA level.

Volume, Å³ per cell: 177
DFT formation energy, meV/atom: -340

The structure in extended XYZ format:
```
8
Lattice="4.994 0.000 0.000 2.497 4.325 0.000 2.497 1.442 8.202" Properties=species:S:1:pos:R:3 pbc="T T T"
In 0.000 0.000 0.000
Er 4.994 2.883 1.060
Cd 4.994 2.883 4.101
Ru 7.491 4.325 6.160
Er 7.491 4.325 3.096
Ru 2.497 1.442 2.042
Er 4.994 2.883 7.141
Er 2.497 1.442 5.106
```

***

(3)
Below is an optimized crystal structure of ErCdInRu, with properties calculated at the PBE-GGA level.

Volume, Å³ per cell: 81
DFT formation energy, meV/atom: -113

The structure in extended XYZ format:
```
4
Lattice="-2.523 -1.837 3.723 -0.258 -4.811 0.621 2.328 -2.098 3.712" Properties=species:S:1:pos:R:3 pbc="T T T"
Ru -0.226 -4.373 4.028
Cd 0.000 0.000 0.000
In -0.113 -2.187 2.014
Er -0.339 -6.560 6.042
```

***

(4)
Below is an optimized crystal structure of ErCdInS4, with properties calculated at the PBE-GGA level.

ΔE_f (raw), meV per atom: -1111.2
Volume, Å³ per cell: 345

The structure in extended XYZ format:
```
14
Lattice="7.847 0.000 0.000 3.923 6.835 0.124 3.923 2.201 6.473" Properties=species:S:1:pos:R:3 pbc="T T T"
Er 0.000 0.000 0.000
S 5.773 3.270 4.820
S 11.770 6.823 4.773
Cd 7.847 4.560 0.896
In 1.962 1.100 3.236
In 5.885 1.100 3.236
Er 3.923 4.518 3.298
S 7.847 2.107 1.746
Cd 7.847 4.476 5.701
S 5.773 5.766 1.777
S 9.920 3.270 4.820
S 9.920 5.766 1.777
S 3.923 2.213 1.823
S 7.847 6.929 4.851
```

***

(5)
Below is an optimized crystal structure of ErScCdIn, with properties calculated at the PBE-GGA level.

Volume, Å³ per cell: 96
DFT formation energy, meV/atom: -377

The structure in extended XYZ format:
```
4
Lattice="-2.513 -3.307 -3.030 -0.390 -4.944 1.358 -4.538 -1.908 1.485" Properties=species:S:1:pos:R:3 pbc="T T T"
Cd -5.581 -7.619 -0.141
In -1.860 -2.540 -0.047
Sc -3.721 -5.080 -0.094
Er 0.000 0.000 0.000
```

***

(6)
Below is an optimized crystal structure of ErSc2Cd2In2, with properties calculated at the PBE-GGA level.

Volume, Å³ per cell: 169
DFT formation energy, meV/atom: -208

The structure in extended XYZ format:
```
7
Lattice="-4.370 0.645 -2.015 -4.016 -1.007 2.537 -2.955 7.670 3.014" Properties=species:S:1:pos:R:3 pbc="T T T"
In -8.513 5.834 2.780
Cd -5.702 5.206 2.334
Sc -2.890 4.496 1.857
Sc -8.451 2.812 1.678
Cd -5.639 2.102 1.202
In -2.828 1.474 0.755
Er 0.000 0.000 0.000
```

***

(7)
Below is an optimized crystal structure of SmEr2Cd2In2, with properties calculated at the PBE-GGA level.

Volume, Å³ per cell: 189
DFT formation energy, meV/atom: -253

The structure in extended XYZ format:
```
7
Lattice="-2.442 2.512 -3.495 -4.936 -0.255 -0.238 -3.086 7.769 4.238" Properties=species:S:1:pos:R:3 pbc="T T T"
Cd -5.418 7.098 1.882
Sm 0.000 0.000 0.000
Er -7.620 4.971 -1.612
In -7.861 7.671 0.497
Er -2.844 5.056 2.118
In -2.602 2.356 0.009
Cd -5.046 2.928 -1.376
```

***

(8)
Below is an optimized crystal structure of Sm2ErCd2In2, with properties calculated at the PBE-GGA level.

Volume, Å³ per cell: 192
DFT formation energy, meV/atom: -255

The structure in extended XYZ format:
```
7
Lattice="4.945 0.000 0.000 2.473 4.283 0.000 2.473 1.428 9.079" Properties=species:S:1:pos:R:3 pbc="T T T"
Sm 2.473 1.428 5.612
Cd 4.945 2.855 1.607
Cd 4.945 2.855 7.472
In 7.418 4.283 7.133
In 2.473 1.428 1.947
Sm 7.418 4.283 3.468
Er 0.000 0.000 0.000
```

***

(9)
Below is an optimized crystal structure of SmErCdIn, with properties calculated at the PBE-GGA level.

Volume, Å³ per cell: 107
DFT formation energy, meV/atom: -402

The structure in extended XYZ format:
```
4
Lattice="-3.081 4.322 0.534 -4.455 -0.245 2.924 -0.256 2.530 4.689" Properties=species:S:1:pos:R:3 pbc="T T T"
Cd -5.845 4.955 6.110
In -1.948 1.652 2.037
Er -3.896 3.303 4.073
Sm 0.000 0.000 0.000
```

***

(10)
Below is an optimized crystal structure of ErCdInSn, with properties calculated at the PBE-GGA level.

Volume, Å³ per cell: 98
DFT formation energy, meV/atom: -401

The structure in extended XYZ format:
```
4
Lattice="-2.789 3.116 1.586 -0.664 -2.595 3.931 3.533 2.140 2.009" Properties=species:S:1:pos:R:3 pbc="T T T"
In 0.372 2.628 1.798
Cd 0.000 0.000 0.000
Er 1.434 -0.228 2.970
Sn -1.726 0.260 2.758
```

***

(11)
Below is an optimized crystal structure of SrErCdIn, with properties calculated at the PBE-GGA level.

Volume, Å³ per cell: 117
Excess energy over the best structure of this formula in the dataset, kJ/mol of atoms: 4.5
DFT formation energy, meV/atom: -333

The structure in extended XYZ format:
```
4
Lattice="-5.334 -0.001 1.301 -3.775 -0.867 -3.891 -2.842 -4.697 -0.070" Properties=species:S:1:pos:R:3 pbc="T T T"
Er 0.000 0.000 0.000
Sr -5.975 -2.782 -1.330
In -2.988 -1.391 -0.665
Cd -8.963 -4.173 -1.995
```

***

(12)
Below is an optimized crystal structure of Sr2ErCd3In4, with properties calculated at the PBE-GGA level.

Volume, Å³ per cell: 292
DFT formation energy, meV/atom: -297

The structure in extended XYZ format:
```
10
Lattice="-0.850 4.357 1.505 -1.444 -1.705 4.120 12.400 0.804 4.679" Properties=species:S:1:pos:R:3 pbc="T T T"
Cd 6.200 0.402 2.339
Cd 0.991 -0.741 2.706
Sr 8.754 -0.238 5.636
Cd 10.262 2.871 4.785
In 7.627 2.701 3.790
Er 5.053 1.728 5.152
In 0.000 0.000 0.000
In 3.626 -0.570 3.701
In -1.147 1.326 2.812
Sr 2.499 2.368 1.856
```

***

(13)
Below is an optimized crystal structure of SrErCdIn, with properties calculated at the PBE-GGA level.

Volume, Å³ per cell: 117
Excess energy over the best structure of this formula in the dataset, kJ/mol of atoms: 0.0
DFT formation energy, meV/atom: -380

The structure in extended XYZ format:
```
4
Lattice="-3.659 -1.157 -0.043 0.786 -2.379 -2.907 1.762 -5.761 5.192" Properties=species:S:1:pos:R:3 pbc="T T T"
Cd -0.425 -5.076 1.506
Er 0.636 -2.080 1.874
In -1.195 -2.558 -0.764
Sr 1.508 -4.931 4.444
```

***

(14)
Below is an optimized crystal structure of SrErCd2In2, with properties calculated at the PBE-GGA level.

Volume, Å³ per cell: 167
DFT formation energy, meV/atom: -391

The structure in extended XYZ format:
```
6
Lattice="-0.575 -4.115 2.721 4.242 0.776 -2.462 2.927 3.696 6.208" Properties=species:S:1:pos:R:3 pbc="T T T"
In 3.118 0.152 5.421
In 3.476 0.206 1.046
Er 1.463 1.848 3.104
Cd 4.705 1.758 3.653
Cd 1.889 -1.400 2.814
Sr 0.000 0.000 0.000
```

***

(15)
Below is an optimized crystal structure of ErTlCdIn, with properties calculated at the PBE-GGA level.

Volume, Å³ per cell: 99
Excess energy over the best structure of this formula in the dataset, kJ/mol of atoms: 0.0
DFT formation energy, meV/atom: -275

The structure in extended XYZ format:
```
4
Lattice="4.639 0.000 0.000 0.000 4.548 0.000 0.000 0.000 4.675" Properties=species:S:1:pos:R:3 pbc="T T T"
Er 2.320 0.000 2.337
Cd 0.000 0.000 0.000
In 2.320 2.274 0.000
Tl 0.000 2.274 2.337
```

***

(16)
Below is an optimized crystal structure of Er4TlCd2In, with properties calculated at the PBE-GGA level.

Volume, Å³ per cell: 207
DFT formation energy, meV/atom: -356

The structure in extended XYZ format:
```
8
Lattice="-1.329 -4.609 2.180 2.520 -1.703 4.302 -5.377 1.914 7.134" Properties=species:S:1:pos:R:3 pbc="T T T"
Er -4.262 -0.690 8.677
In 0.000 0.000 0.000
Er -3.217 0.410 5.274
Er -0.969 -4.809 8.344
Tl -2.093 -2.199 6.809
Er 0.076 -3.709 4.940
Cd -1.026 -1.114 3.386
Cd -3.160 -3.285 10.231
```

***

(17)
Below is an optimized crystal structure of ErTlCdIn, with properties calculated at the PBE-GGA level.

Volume, Å³ per cell: 102
Excess energy over the best structure of this formula in the dataset, kJ/mol of atoms: 14.8
DFT formation energy, meV/atom: -122

The structure in extended XYZ format:
```
4
Lattice="-3.044 -4.108 1.199 1.618 -4.875 -1.095 1.381 -3.244 3.892" Properties=species:S:1:pos:R:3 pbc="T T T"
Cd -0.033 -9.170 2.997
Tl 0.000 0.000 0.000
Er -0.011 -3.057 0.999
In -0.022 -6.114 1.998
```

***

(18)
Below is an optimized crystal structure of Er2TmCd2In2, with properties calculated at the PBE-GGA level.

Volume, Å³ per cell: 185
DFT formation energy, meV/atom: -214

The structure in extended XYZ format:
```
7
Lattice="4.925 0.000 0.000 2.462 4.265 0.000 2.462 1.422 8.790" Properties=species:S:1:pos:R:3 pbc="T T T"
In 2.462 1.422 1.969
Tm 0.000 0.000 0.000
In 7.387 4.265 6.822
Er 7.387 4.265 3.372
Cd 4.925 2.843 1.606
Cd 4.925 2.843 7.185
Er 2.462 1.422 5.418
```

***

(19)
Below is an optimized crystal structure of ErTmCdIn, with properties calculated at the PBE-GGA level.

Volume, Å³ per cell: 102
DFT formation energy, meV/atom: -385

The structure in extended XYZ format:
```
4
Lattice="-4.597 1.649 1.915 -4.487 -1.812 -2.025 -3.004 -3.271 2.791" Properties=species:S:1:pos:R:3 pbc="T T T"
Tm 0.000 0.000 0.000
In -3.022 -0.859 0.670
Er -6.044 -1.717 1.341
Cd -9.066 -2.576 2.011
```

***

(20)
Below is an optimized crystal structure of YEr2Cd2In2, with properties calculated at the PBE-GGA level.

Volume, Å³ per cell: 187
DFT formation energy, meV/atom: -242

The structure in extended XYZ format:
```
7
Lattice="4.927 0.000 0.000 2.464 4.267 0.000 2.464 1.422 8.879" Properties=species:S:1:pos:R:3 pbc="T T T"
Y 0.000 0.000 0.000
Er 7.391 4.267 3.423
Cd 4.927 2.845 7.174
In 2.464 1.422 2.012
Er 2.464 1.422 5.455
Cd 4.927 2.845 1.705
In 7.391 4.267 6.867
```